Record 1
Computed, not measured: a relaxed MoPd2Pt8 crystal at the PBE level of DFT.

abc: 7.6575 12.3122 5.3304
angles: 90.00 133.20 90.00
With the nearest neighbours (Å) after each atom.
Space group C2/m (No. 12)
One atom of each set of equivalent atoms:
Mo 0.0000 0.0000 0.0000 (multiplicity 2)  8 Pt 2.48-2.72
Pd 0.0000 0.3072 0.5000 (multiplicity 4)  10 Pt 2.75-2.87
Pt 0.0000 0.2211 0.0000 (multiplicity 4)  4 Pt 2.68-2.73, 1 Mo 2.72, 4 Pd 2.81-2.87
Pt 0.1176 0.5000 0.3878 (multiplicity 4)  1 Mo 2.48, 3 Pt 2.66-2.76, 2 Pd 2.75
Pt 0.2034 0.1095 0.8244 (multiplicity 8)  6 Pt 2.63-2.80, 1 Mo 2.67, 2 Pd 2.77-2.83

Results
DFT formation energy   0.5 eV per formula unit


Record 2
Computed, not measured: a relaxed MoPd2Pt2 crystal at the PBE level of DFT.

abc: 4.4936 8.9981 17.8476
angles: 90.00 90.00 90.00
With the nearest neighbours (Å) after each atom.
Space group Fddd (No. 70, origin choice 2)
One atom of each set of equivalent atoms:
Mo 0.1250 0.1250 0.1250 (multiplicity 8)  4 Pd 2.56, 4 Pt 2.66
Pd 0.0000 0.0000 0.0000 (multiplicity 16)  2 Pd 2.51, 2 Mo 2.56, 2 Pt 2.81
Pt 0.1250 0.2826 0.6250 (multiplicity 16)  2 Mo 2.66, 3 Pt 2.79-2.84, 2 Pd 2.81

Results
Polymorph energy (0 for the lowest one)   0.0510 eV per atom
DFT formation energy   1.6 eV per formula unit


Record 3
Computed, not measured: a relaxed MoPd8Pt2 crystal at the PBE level of DFT.

abc: 11.9151 6.8663 4.7785
angles: 90.00 103.67 90.00
With the nearest neighbours (Å) after each atom.
Space group C2/m (No. 12)
One atom of each set of equivalent atoms:
Mo 0.0000 0.0000 0.0000 (multiplicity 2)  2 Pt 2.51, 6 Pd 2.52-2.65
Pd 0.0673 0.3056 0.7971 (multiplicity 8)  1 Mo 2.52, 4 Pd 2.67-2.80, 1 Pt 2.68
Pd 0.1451 0.5000 0.3442 (multiplicity 4)  1 Pt 2.69, 8 Pd 2.78-2.89
Pd 0.2278 0.0000 0.0743 (multiplicity 4)  1 Mo 2.65, 2 Pt 2.66-2.71, 6 Pd 2.72-2.94
Pt 0.1223 0.0000 0.5063 (multiplicity 4)  1 Mo 2.51, 5 Pd 2.66-2.71

Results
Polymorph energy (0 for the lowest one)   0.3263 eV per atom
DFT formation energy   2.6 eV per formula unit


Record 4
Computed, not measured: a relaxed Mo3Pd7Pt2 crystal at the PBE level of DFT.

abc: 27.8249 2.7574 4.8552
angles: 90.00 99.47 90.00
With the nearest neighbours (Å) after each atom.
Space group C2/m (No. 12)
One atom of each set of equivalent atoms:
Mo 0.0000 0.0000 0.0000 (multiplicity 2)  2 Mo 2.76, 10 Pd 2.76-2.79
Mo 0.1665 0.5000 0.0002 (multiplicity 4)  2 Mo 2.76, 6 Pd 2.78-2.79, 4 Pt 2.79
Pd 0.0000 0.5000 0.5000 (multiplicity 2)  8 Pd 2.76-2.80, 4 Mo 2.79
Pd 0.0830 0.0000 0.7567 (multiplicity 4)  8 Pd 2.74-2.84, 3 Mo 2.76-2.79, 1 Pt 2.81
Pd 0.0826 0.5000 0.2446 (multiplicity 4)  7 Pd 2.74-2.84, 3 Mo 2.77-2.79, 2 Pt 2.81
Pd 0.2495 0.0000 0.2435 (multiplicity 4)  6 Pd 2.74-2.84, 3 Mo 2.78-2.79, 3 Pt 2.80-2.83
Pt 0.1663 0.0000 0.4997 (multiplicity 4)  2 Pt 2.76, 4 Mo 2.79, 6 Pd 2.80-2.83

Results
DFT formation energy   -1.3 eV per formula unit


Record 5
Computed, not measured: a relaxed MoPd3Pt3 crystal at the PBE level of DFT.

abc: 7.4042 7.4042 4.5460
angles: 90.00 90.00 120.00
With the nearest neighbours (Å) after each atom.
Space group P6_3/m (No. 176)
One atom of each set of equivalent atoms:
Mo 0.3333 0.6667 0.2500 (multiplicity 2)  3 Pd 2.76, 9 Pt 2.78-2.80
Pd 0.0557 0.2435 0.2500 (multiplicity 6)  1 Mo 2.76, 5 Pt 2.76-2.86, 6 Pd 2.80-2.83
Pt 0.0956 0.4788 0.7500 (multiplicity 6)  5 Pd 2.76-2.86, 4 Pt 2.78, 3 Mo 2.78-2.80

Results
Polymorph energy (0 for the lowest one)   0.0000 eV per atom
DFT formation energy   -1.4 eV per formula unit


Record 6
Computed, not measured: a relaxed MoPd2Pt crystal at the PBE level of DFT.

abc: 3.8714 3.8714 8.1661
angles: 90.00 90.00 90.00
With the nearest neighbours (Å) after each atom.
Space group I4/mmm (No. 139)
One atom of each set of equivalent atoms:
Mo 0.0000 0.0000 0.0000 (multiplicity 2)  4 Pt 2.74, 8 Pd 2.81
Pd 0.0000 0.5000 0.2500 (multiplicity 4)  4 Pd 2.74, 4 Pt 2.81, 4 Mo 2.81
Pt 0.0000 0.0000 0.5000 (multiplicity 2)  4 Mo 2.74, 8 Pd 2.81

Results
Polymorph energy (0 for the lowest one)   0.0000 eV per atom
DFT formation energy   -0.6 eV per formula unit


Record 7
Computed, not measured: a relaxed Mo2PdPt crystal at the PBE level of DFT.

abc: 2.7334 4.7588 4.9759
angles: 98.33 90.25 104.01
With the nearest neighbours (Å) after each atom.
Space group P1 (No. 1)
One atom of each set of equivalent atoms:
Mo 0.0000 0.0000 0.0000 (multiplicity 1)  5 Mo 2.69-2.96, 3 Pt 2.74-2.76, 4 Pd 2.79-2.88
Mo 0.1886 0.5102 0.7249 (multiplicity 1)  5 Mo 2.69-2.96, 3 Pd 2.73-2.79, 4 Pt 2.79-2.88
Pd 0.4850 0.0094 0.4961 (multiplicity 1)  7 Mo 2.73-2.88, 2 Pd 2.73, 3 Pt 2.77-2.98
Pt 0.7005 0.4935 0.2272 (multiplicity 1)  2 Pt 2.73, 7 Mo 2.74-2.88, 3 Pd 2.77-2.98

Results
Polymorph energy (0 for the lowest one)   0.0000 eV per atom
DFT formation energy   -0.4 eV per formula unit


Record 8
Computed, not measured: a relaxed MoPd2Pt crystal at the PBE level of DFT.

abc: 4.8279 2.7756 9.3544
angles: 90.00 99.95 90.00
With the nearest neighbours (Å) after each atom.
Space group C2/m (No. 12)
One atom of each set of equivalent atoms:
Mo 0.0000 0.0000 0.0000 (multiplicity 2)  6 Pd 2.74-2.75, 6 Mo 2.78
Pd 0.2493 0.5000 0.2419 (multiplicity 4)  3 Mo 2.74-2.75, 6 Pd 2.78, 3 Pt 2.87-2.88
Pt 0.0000 0.5000 0.5000 (multiplicity 2)  6 Pt 2.78, 6 Pd 2.87-2.88

Results
Polymorph energy (0 for the lowest one)   0.0708 eV per atom
DFT formation energy   -0.3 eV per formula unit


Record 9
Computed, not measured: a relaxed MoPdPt14 crystal at the PBE level of DFT.

abc: 5.6400 5.6400 7.8356
angles: 90.00 90.00 90.00
With the nearest neighbours (Å) after each atom.
Space group P4/mmm (No. 123)
One atom of each set of equivalent atoms:
Mo 0.0000 0.0000 0.0000 (multiplicity 1)  12 Pt 2.75-2.82
Pd 0.5000 0.5000 0.0000 (multiplicity 1)  12 Pt 2.78-2.82
Pt 0.0000 0.0000 0.5000 (multiplicity 1)  12 Pt 2.81-2.82
Pt 0.0000 0.5000 0.0000 (multiplicity 2)  8 Pt 2.77, 2 Pd 2.82, 2 Mo 2.82
Pt 0.0000 0.5000 0.5000 (multiplicity 2)  12 Pt 2.82
Pt 0.2472 0.2472 0.2451 (multiplicity 8)  1 Mo 2.75, 10 Pt 2.77-2.85, 1 Pd 2.78
Pt 0.5000 0.5000 0.5000 (multiplicity 1)  12 Pt 2.82-2.84

Results
DFT formation energy   -1.7 eV per formula unit


Record 10
Computed, not measured: a relaxed MoPd2RuPt crystal at the PBE level of DFT.

abc: 4.7185 4.7185 4.7597
angles: 90.00 90.00 90.00
With the nearest neighbours (Å) after each atom.
Space group P4/mmm (No. 123)
One atom of each set of equivalent atoms:
Mo 0.0000 0.0000 0.0000 (multiplicity 1)  4 Pd 2.36, 2 Pt 2.38
Pd 0.0000 0.5000 0.0000 (multiplicity 2)  2 Mo 2.36
Ru 0.5000 0.5000 0.5000 (multiplicity 1)  4 Pt 3.34, 8 Pd 3.35
Pt 0.0000 0.0000 0.5000 (multiplicity 1)  2 Mo 2.38

Results
DFT formation energy   7.7 eV per formula unit


Record 11
Computed, not measured: a relaxed Sb2MoPdPt crystal at the PBE level of DFT.

abc: 5.1332 5.1332 4.8696
angles: 90.00 90.00 90.00
With the nearest neighbours (Å) after each atom.
Space group P4/mmm (No. 123)
One atom of each set of equivalent atoms:
Sb 0.0000 0.5000 0.0000 (multiplicity 2)  2 Mo 2.57
Mo 0.0000 0.0000 0.0000 (multiplicity 1)  2 Pt 2.43, 4 Sb 2.57
Pd 0.5000 0.5000 0.5000 (multiplicity 1)  8 Sb 3.54, 4 Pt 3.63
Pt 0.0000 0.0000 0.5000 (multiplicity 1)  2 Mo 2.43

Results
Formation energy without anion corrections   813 meV per atom


Record 12
Computed, not measured: a relaxed ScMo2PdPt crystal at the PBE level of DFT.

abc: 4.6084 4.6084 4.6782
angles: 90.00 90.00 90.00
With the nearest neighbours (Å) after each atom.
Space group P4/mmm (No. 123)
One atom of each set of equivalent atoms:
Sc 0.0000 0.0000 0.0000 (multiplicity 1)  4 Mo 2.30, 2 Pt 2.34
Mo 0.0000 0.5000 0.0000 (multiplicity 2)  2 Sc 2.30
Pd 0.5000 0.5000 0.5000 (multiplicity 1)  4 Pt 3.26, 8 Mo 3.28
Pt 0.0000 0.0000 0.5000 (multiplicity 1)  2 Sc 2.34

Results
DFT formation energy   8.0 eV per formula unit


Record 13
Computed, not measured: a relaxed VMoPd2Pt crystal at the PBE level of DFT.

abc: 4.7406 4.7406 4.7862
angles: 90.00 90.00 90.00
With the nearest neighbours (Å) after each atom.
Space group P4/mmm (No. 123)
One atom of each set of equivalent atoms:
V 0.0000 0.0000 0.0000 (multiplicity 1)  4 Pt 3.35, 8 Pd 3.37
Mo 0.5000 0.5000 0.5000 (multiplicity 1)  4 Pd 2.37, 2 Pt 2.39
Pd 0.0000 0.5000 0.5000 (multiplicity 2)  2 Mo 2.37
Pt 0.5000 0.5000 0.0000 (multiplicity 1)  2 Mo 2.39

Results
DFT formation energy   7.0 eV per formula unit


Computed spin magnetization, in the same sequence as the records: 0.00; 0.00; 0.00; 0.00; 0.00; 0.00; 0.00; 0.00; 0.00; 0.46; 0.00; 0.00; 0.04 μB per atom.